# GGA-PBE LaTe3PbAu, optimized geometry
data_LaTe3PbAu
_chemical_formula_sum 'La2 Te6 Pb2 Au2'
_cell_length_a 8.490
_cell_length_b 4.455
_cell_length_c 10.896
_cell_angle_alpha 90.00
_cell_angle_beta 105.51
_cell_angle_gamma 90.00
_space_group_name_H-M_alt 'P 1 21/m 1'
_space_group_IT_number 11
_space_group_name_Hall '-P 2yb'
loop_
_atom_site_label
_atom_site_type_symbol
_atom_site_fract_x
_atom_site_fract_y
_atom_site_fract_z
La1 La 0.201 0.250 0.175
Te1 Te 0.083 0.250 0.864
Te2 Te 0.218 0.250 0.470
Te3 Te 0.470 0.750 0.173
Pb1 Pb 0.237 0.750 0.703
Au1 Au 0.400 0.750 0.408
# Energy above the lowest structure with this stoichiometry   27 meV per atom
# Size of the total moment   0.0 μB/cell
# Energy   -4.32 eV/atom